No. 1
DFT (SCAN) results for a PBEsol-optimized structure of OsBrCl.

Geometry as extended XYZ:
```
3
Lattice="0.000 2.843 7.151 1.492 0.000 7.151 1.492 2.843 0.000" Properties=species:S:1:pos:R:3 pbc="T T T"
Os 0.000 0.000 0.000
Br 1.492 2.843 5.172
Cl 1.492 2.843 8.980
```

raw formation energy: 0.5602 eV per atom
space group: Fmm2

=====

No. 2
DFT (SCAN) results for a PBEsol-optimized structure of ZnBTeI2.

Geometry as extended XYZ:
```
5
Lattice="5.003 0.000 0.000 0.000 5.003 0.000 0.000 0.000 4.881" Properties=species:S:1:pos:R:3 pbc="T T T"
Zn 0.000 0.000 0.000
B 2.502 2.502 2.441
Te 2.502 2.502 0.000
I 0.000 2.502 2.441
I 2.502 0.000 2.441
```

raw formation energy: 0.8210 eV per atom
space group: P4/mmm

=====

No. 3
DFT (SCAN) results for a PBEsol-optimized structure of MgPAuCl2.

Geometry as extended XYZ:
```
5
Lattice="4.895 0.000 0.000 0.000 4.895 0.000 0.000 0.000 4.924" Properties=species:S:1:pos:R:3 pbc="T T T"
Mg 0.000 0.000 0.000
P 2.447 2.447 0.000
Au 2.447 2.447 2.462
Cl 0.000 2.447 2.462
Cl 2.447 0.000 2.462
```

raw formation energy: 0.1091 eV per atom
space group: P4/mmm

=====

Per-record magnetization, Bohr magnetons per cell: 0.000; 0.000; 0.668
Per-record E, eV per formula unit: -97.637; -127.574; -99.940
Per-record N(E_F), states/eV per cell: 1.77; 2.50; 1.97